No. 1
## MgHgAsO4 (PBE)

Data for a relaxed structure of MgHgAsO4.

Cell: 5.8704 6.4223 6.4223 Å, 65.56 62.80 62.80°
Element x y z (fractional)
Mg1 0.0000 0.0000 0.0000
Mg2 0.0000 0.5000 0.5000
Hg1 0.5000 0.0000 0.5000
Hg2 0.0000 0.0000 0.5000
As1 0.6407 0.6093 0.1093
As2 0.3593 0.3907 0.8907
O1 0.7519 0.7016 0.7946
O2 0.2481 0.7054 0.7984
O3 0.7519 0.2946 0.2016
O4 0.2481 0.2984 0.2054
O5 0.2805 0.7240 0.2240
O6 0.7715 0.7240 0.2240
O7 0.2285 0.2760 0.7760
O8 0.7195 0.2760 0.7760

- Magnetization: 0.0000 μB per atom
- E: -69.9 eV/cell
- Space-group type: Imma, No. 74

---

No. 2
## AcCePmTl (PBE)

Data for a relaxed structure of AcCePmTl.

Cell: 5.6779 5.6779 5.6779 Å, 60.00 60.00 60.00°
Site moments in Bohr magnetons follow the coordinates.
Element x y z (fractional)
Ac1 0.5000 0.5000 0.5000  0.12
Tl1 0.0000 0.0000 0.0000  -0.01
Ce1 0.7500 0.7500 0.7500  0.78
Pm1 0.2500 0.2500 0.2500  0.09

- Magnetization: 0.3371 μB per atom
- Space-group type: F-43m, No. 216
- Energy relative to the elements: 0.042 eV/atom

---

No. 3
## SrTa2Re (PBE)

Data for a relaxed structure of SrTa2Re.

Cell: 5.2019 5.2019 9.5315 Å, 74.16 74.16 90.00°
Element x y z (fractional)
Re1 0.0000 0.0000 0.0000
Re2 0.7500 0.2500 0.5000
Sr1 0.5000 0.5000 0.0000
Sr2 0.2500 0.7500 0.5000
Ta1 0.8748 0.1250 0.2500
Ta2 0.8752 0.6250 0.2500
Ta3 0.3750 0.1252 0.7500
Ta4 0.8750 0.1248 0.7500

- Magnetization: 0.0000 μB per atom
- Energy above the most stable polymorph in this dataset: 872 meV per atom
- Space-group type: I4_1/amd, No. 141
- Energy relative to the elements: 1.349 eV/atom

---

No. 4
## BaN (PBE)

Data for a relaxed structure of BaN.

Cell: 4.1186 4.5856 7.6563 Å, 87.86 75.69 62.99°
Element x y z (fractional)
Ba1 0.0360 0.2395 0.7051
Ba2 0.9640 0.7605 0.2949
N1 0.5918 0.3531 0.4592
N2 0.4082 0.6469 0.5408

- Magnetization: 0.0000 μB per atom
- E: -22.3 eV/cell
- Space-group type: P-1, No. 2

---

No. 5
## AlHgPb2 (PBE)

Data for a relaxed structure of AlHgPb2.

Cell: 4.6514 4.6514 6.8664 Å, 70.20 70.20 60.00°
Element x y z (fractional)
Al1 0.6641 0.6641 0.0077
Hg1 0.5001 0.5001 0.4997
Pb1 0.0696 0.0696 0.7913
Pb2 0.2662 0.2662 0.2013

- Magnetization: 0.0000 μB per atom
- Energy above the most stable polymorph in this dataset: 57 meV per atom
- Space-group type: R3m, No. 160
- Energy relative to the elements: 0.180 eV/atom

---

No. 6
## TlIBrN2 (PBE)

Data for a relaxed structure of TlIBrN2.

Cell: 4.6274 4.6274 6.5148 Å, 90.00 90.00 90.00°
Site moments in Bohr magnetons follow the coordinates.
Element x y z (fractional)
I1 0.0000 0.0000 0.5000  0.07
Tl1 0.0000 0.0000 0.0000  -0.02
Br1 0.5000 0.5000 0.5000  0.06
N1 0.0000 0.5000 0.0000  1.23
N2 0.5000 0.0000 0.0000  1.23

- Magnetization: 0.7736 μB per atom
- Energy above the most stable polymorph in this dataset: 0 meV per atom
- Space-group type: P4/mmm, No. 123

---

No. 7
## PuTlRh (PBE)

Data for a relaxed structure of PuTlRh.

Cell: 3.3485 3.3485 6.3399 Å, 105.31 105.31 90.00°
Site moments in Bohr magnetons follow the coordinates.
Element x y z (fractional)
Tl1 0.6366 0.6366 0.2732  0.00
Rh1 0.2848 0.2848 0.5696  -0.23
Pu1 0.9286 0.9286 0.8572  5.27

- Magnetization: 1.7751 μB per atom
- Energy above the most stable polymorph in this dataset: 0 meV per atom
- Space-group type: I4mm, No. 107
- Energy relative to the elements: -0.166 eV/atom

---

No. 8
## Cu6Ni2Rh (PBE)

Data for a relaxed structure of Cu6Ni2Rh.

Cell: 6.6708 6.3518 6.3518 Å, 85.18 64.59 64.59°
Site moments in Bohr magnetons follow the coordinates.
Element x y z (fractional)
Cu1 0.4757 0.5642 0.3195  0.00
Cu2 0.0243 0.6805 0.4358  0.00
Cu3 0.5243 0.4358 0.6805  0.00
Cu4 0.9757 0.3195 0.5642  0.00
Cu5 0.8648 0.1090 0.3324  0.00
Cu6 0.6352 0.6676 0.8910  0.00
Cu7 0.1352 0.8910 0.6676  0.00
Cu8 0.3648 0.3324 0.1090  0.00
Cu9 0.2022 0.7434 0.0211  0.00
Cu10 0.2978 0.9789 0.2566  0.00
Cu11 0.7978 0.2566 0.9789  0.00
Cu12 0.7022 0.0211 0.7434  0.00
Ni1 0.0799 0.5325 0.7951  0.06
Ni2 0.4201 0.2049 0.4675  0.06
Ni3 0.9201 0.4675 0.2049  0.06
Ni4 0.5799 0.7951 0.5325  0.06
Rh1 0.2500 0.1197 0.8803  0.06
Rh2 0.7500 0.8803 0.1197  0.06

- Magnetization: 0.0192 μB per atom
- Space-group type: C2/c, No. 15
- Energy relative to the elements: 0.071 eV/atom